(1)
First-principles (SCAN) data for a crystal of Tl2FeAgH relaxed with PBEsol, as listed in Alexandria.

Unit cell a=4.8441 b=5.3346 c=5.3346 alpha=90.00 beta=90.00 gamma=90.00
Each line ends with the local moment (μB).
Element x y z (fractional)
1 Fe 0.5000 0.0000 0.0000  3.31
2 H 0.5000 0.5000 0.5000  0.11
3 Tl 0.0000 0.0000 0.5000  -0.02
4 Tl 0.0000 0.5000 0.0000  -0.02
5 Ag 0.0000 0.0000 0.0000  0.03

Summary:
symmetry: P4/mmm (123)
DFT total energy: -192.351 eV per cell
mass density: 6.91 g/cm³
crystal system: tetragonal

***

(2)
First-principles (SCAN) data for a crystal of MgTaPt2 relaxed with PBEsol, as listed in Alexandria.

Unit cell a=2.8135 b=2.8135 c=8.2413 alpha=90.00 beta=90.00 gamma=90.00
Element x y z (fractional)
1 Pt 0.5000 0.5000 0.2466
2 Pt 0.0000 0.0000 0.9974
3 Ta 0.0000 0.0000 0.4783
4 Mg 0.5000 0.5000 0.7777

Summary:
symmetry: P4mm (99)
energy of formation: -1.58 eV per formula unit
mass density: 15.16 g/cm³
crystal system: tetragonal

***

(3)
First-principles (SCAN) data for a crystal of SrZrCl2 relaxed with PBEsol, as listed in Alexandria.

Unit cell a=3.3028 b=4.5087 c=6.5696 alpha=90.00 beta=90.00 gamma=90.00
Each line ends with the local moment (μB).
Element x y z (fractional)
1 Sr 0.5000 0.5000 0.0000  0.02
2 Cl 0.0000 0.0000 0.0000  0.01
3 Cl 0.5000 0.0000 0.5000  -0.01
4 Zr 0.0000 0.5000 0.5000  0.28

Summary:
raw formation energy: -1.05 eV/atom
symmetry: Pmmm (47)
offset from the most stable computed form: 1.11 eV/f.u.
mass density: 4.24 g/cm³
crystal system: orthorhombic

***

(4)
First-principles (SCAN) data for a crystal of Li2CrH8Cl5O4 relaxed with PBEsol, as listed in Alexandria.

Unit cell a=6.1640 b=8.1630 c=12.7642 alpha=93.78 beta=76.03 gamma=67.82
Each line ends with the local moment (μB).
Element x y z (fractional)
1 O 0.7910 0.1663 0.9217  -0.01
2 O 0.2090 0.8337 0.0783  -0.01
3 O 0.1209 0.6663 0.4217  -0.01
4 O 0.8791 0.3337 0.5783  -0.01
5 O 0.7346 0.9189 0.0537  0.00
6 O 0.2928 0.4189 0.5537  0.00
7 O 0.7072 0.5811 0.4463  0.00
8 O 0.2654 0.0811 0.9463  0.00
9 Cl 0.7346 0.5823 0.9534  0.00
10 Cl 0.8350 0.2128 0.1550  0.01
11 Cl 0.7297 0.0823 0.4534  0.00
12 Cl 0.5788 0.7500 0.2500  0.00
13 Cl 0.1650 0.7872 0.8450  0.01
14 Cl 0.2654 0.4177 0.0466  0.00
15 Cl 0.2028 0.2872 0.3450  0.01
16 Cl 0.7972 0.7128 0.6550  0.01
17 Cl 0.4212 0.2500 0.7500  0.00
18 Cl 0.2703 0.9177 0.5466  0.00
19 H 0.5596 0.6895 0.4934  0.00
20 H 0.4404 0.3105 0.5066  0.00
21 H 0.8480 0.2440 0.5327  0.00
22 H 0.7253 0.6095 0.3708  0.00
23 H 0.7424 0.8105 0.0066  0.00
24 H 0.2944 0.1095 0.8708  0.00
25 H 0.1520 0.7560 0.4673  0.00
26 H 0.2747 0.3905 0.6292  0.00
27 H 0.2619 0.6129 0.3559  0.00
28 H 0.7693 0.1129 0.8559  0.00
29 H 0.3754 0.7440 0.0327  0.00
30 H 0.6246 0.2560 0.9673  0.00
31 H 0.7056 0.8905 0.1292  0.00
32 H 0.2307 0.8871 0.1441  0.00
33 H 0.2576 0.1895 0.9934  0.00
34 H 0.7381 0.3871 0.6441  0.00
35 Cr 0.0000 0.5000 0.5000  2.84
36 Cr 0.0000 0.0000 0.0000  2.84
37 Li 0.8400 0.4879 0.1121  0.00
38 Li 0.4399 0.0121 0.3879  0.00
39 Li 0.5601 0.9879 0.6121  0.00
40 Li 0.1600 0.5121 0.8879  0.00

Summary:
symmetry: C2/c (15)
DFT total energy: -284.625 eV per cell
mass density: 1.84 g/cm³
crystal system: monoclinic

***

(5)
First-principles (SCAN) data for a crystal of LiLaCu4 relaxed with PBEsol, as listed in Alexandria.

Unit cell a=5.0776 b=5.0776 c=5.0776 alpha=60.00 beta=60.00 gamma=60.00
Element x y z (fractional)
1 Cu 0.3725 0.3725 0.3725
2 Cu 0.8826 0.3725 0.3725
3 Cu 0.3725 0.3725 0.8826
4 Cu 0.3725 0.8826 0.3725
5 Li 0.0000 0.0000 0.0000
6 La 0.7500 0.7500 0.7500

Summary:
symmetry: F-43m (216)
energy of formation: -0.90 eV per formula unit
mass density: 7.18 g/cm³
crystal system: cubic

***

(6)
First-principles (SCAN) data for a crystal of FeTe2Ir relaxed with PBEsol, as listed in Alexandria.

Unit cell a=3.4527 b=3.4527 c=6.9220 alpha=90.00 beta=90.00 gamma=90.00
Each line ends with the local moment (μB).
Element x y z (fractional)
1 Te 0.0000 0.0000 0.8960  -0.02
2 Te 0.5000 0.5000 0.3510  -0.04
3 Fe 0.0000 0.0000 0.5299  2.82
4 Ir 0.5000 0.5000 0.7231  0.01

Summary:
raw formation energy: 0.09 eV/atom
symmetry: P4mm (99)
offset from the most stable computed form: 0.56 eV/f.u.
mass density: 10.13 g/cm³
crystal system: tetragonal

***

(7)
First-principles (SCAN) data for a crystal of SiPt2Au relaxed with PBEsol, as listed in Alexandria.

Unit cell a=2.8323 b=3.8580 c=5.6206 alpha=90.00 beta=90.00 gamma=90.00
Element x y z (fractional)
1 Au 0.5000 0.5000 0.7621
2 Pt 0.0000 0.0000 0.0100
3 Pt 0.5000 0.5000 0.2809
4 Si 0.0000 0.0000 0.4471

Summary:
raw formation energy: -0.08 eV/atom
symmetry: Pmm2 (25)
mass density: 16.63 g/cm³
crystal system: orthorhombic

***

(8)
First-principles (SCAN) data for a crystal of BP2PbO relaxed with PBEsol, as listed in Alexandria.

Unit cell a=4.0661 b=5.1872 c=5.1872 alpha=90.00 beta=90.00 gamma=90.00
Element x y z (fractional)
1 B 0.5000 0.5000 0.5000
2 P 0.0000 0.0000 0.5000
3 P 0.0000 0.5000 0.0000
4 Pb 0.0000 0.0000 0.0000
5 O 0.5000 0.0000 0.0000

Summary:
raw formation energy: 1.84 eV/atom
symmetry: P4/mmm (123)
offset from the most stable computed form: 8.15 eV/f.u.
mass density: 4.49 g/cm³
crystal system: tetragonal

***

(9)
First-principles (SCAN) data for a crystal of Y2CuP relaxed with PBEsol, as listed in Alexandria.

Unit cell a=3.9758 b=3.9778 c=5.6130 alpha=90.00 beta=90.61 gamma=90.00
Each line ends with the local moment (μB).
Element x y z (fractional)
1 Cu 0.5000 0.5000 0.0000  -0.03
2 Y 0.5000 0.5000 0.5000  -0.19
3 Y 0.0000 0.0000 0.0000  -0.15
4 P 0.0000 0.0000 0.5000  0.01

Summary:
symmetry: P2/m (10)
energy of formation: -3.40 eV per formula unit
mass density: 5.09 g/cm³
crystal system: monoclinic

***

(10)
First-principles (SCAN) data for a crystal of Li2ZnSi relaxed with PBEsol, as listed in Alexandria.

Unit cell a=2.9394 b=4.2914 c=4.2914 alpha=90.00 beta=90.00 gamma=90.00
Element x y z (fractional)
1 Li 0.0000 0.5000 0.0000
2 Li 0.0000 0.0000 0.5000
3 Si 0.5000 0.5000 0.5000
4 Zn 0.5000 0.0000 0.0000

Summary:
raw formation energy: -0.08 eV/atom
symmetry: P4/mmm (123)
mass density: 3.29 g/cm³
crystal system: tetragonal

***

(11)
First-principles (SCAN) data for a crystal of RuRh relaxed with PBEsol, as listed in Alexandria.

Unit cell a=3.7699 b=3.7699 c=4.6122 alpha=114.12 beta=114.12 gamma=90.00
Element x y z (fractional)
1 Ru 0.2500 0.7500 0.5000
2 Ru 0.0000 0.0000 0.0000
3 Rh 0.5000 0.5000 0.0000
4 Rh 0.7500 0.2500 0.5000

Summary:
symmetry: I4_1/amd (141)
energy of formation: 0.13 eV per formula unit
mass density: 12.66 g/cm³
crystal system: tetragonal

***

(12)
First-principles (SCAN) data for a crystal of SnSb2PdBr relaxed with PBEsol, as listed in Alexandria.

Unit cell a=5.0689 b=5.0689 c=5.5377 alpha=90.00 beta=90.00 gamma=90.00
Element x y z (fractional)
1 Sn 0.0000 0.0000 0.5000
2 Br 0.5000 0.5000 0.5000
3 Sb 0.5000 0.0000 0.0000
4 Sb 0.0000 0.5000 0.0000
5 Pd 0.0000 0.0000 0.0000

Summary:
raw formation energy: 0.22 eV/atom
symmetry: P4/mmm (123)
mass density: 6.40 g/cm³
crystal system: tetragonal